Here is an optimized crystal structure of NpBeAgO5 from Alexandria via LeMat-Bulk. Energies are from PBE.

The structure in POSCAR format:
```
NpBeAgO5
1.0
3.717 -4.263 0.000
3.717 4.263 0.000
-3.353 0.000 7.073
Np Be Ag O
2 2 2 10
Direct
0.000 0.500 0.000
0.500 0.000 0.500
0.073 0.927 0.750
0.927 0.073 0.250
0.418 0.582 0.750
0.582 0.418 0.250
0.118 0.730 0.871
0.146 0.228 0.885
0.228 0.146 0.385
0.270 0.882 0.629
0.329 0.671 0.250
0.671 0.329 0.750
0.730 0.118 0.371
0.772 0.854 0.615
0.854 0.772 0.115
0.882 0.270 0.129
```

Properties
As for the formation energy from raw total energies: -2026 meV per atom. The calculation puts the total magnetic moment at 0.0 μB per formula unit.


Here is an optimized crystal structure of TeRu3Au from Alexandria via LeMat-Bulk. Energies are from PBE.

The structure in POSCAR format:
```
TeRu3Au
1.0
4.797 0.000 0.000
0.000 4.797 0.000
0.000 0.000 4.797
Te Ru Au
1 3 1
Direct
0.000 0.000 0.000
0.000 0.000 0.500
0.000 0.500 0.000
0.500 0.000 0.000
0.500 0.500 0.500
```

Properties
As for the formation energy from raw total energies: 1533 meV per atom. The calculation puts the polymorph energy (0 for the lowest one) at 0 meV/atom. The calculation puts the total magnetic moment at 3.1 μB per formula unit.


Here is an optimized crystal structure of ZnTc2Te from Alexandria via LeMat-Bulk. Energies are from PBE.

The structure in POSCAR format:
```
ZnTc2Te
1.0
-2.011 2.011 9.173
2.011 -2.011 9.173
2.011 2.011 -9.173
Zn Tc Te
2 4 2
Direct
0.000 0.000 0.000
0.750 0.250 0.500
0.053 0.625 0.928
0.375 0.303 0.428
0.697 0.125 0.072
0.875 0.947 0.572
0.250 0.750 0.500
0.500 0.500 0.000
```

Properties
As for the formation energy from raw total energies: 536 meV per atom. The calculation puts the polymorph energy (0 for the lowest one) at 358 meV/atom. The calculation puts the total magnetic moment at 0.0 μB per formula unit.


Here is an optimized crystal structure of Tm2Al4Cu3Ag from Alexandria via LeMat-Bulk. Energies are from PBE.

The structure in POSCAR format:
```
Tm2Al4Cu3Ag
1.0
4.084 0.000 0.000
0.000 4.084 0.000
0.000 0.000 10.616
Tm Al Cu Ag
2 4 3 1
Direct
0.000 0.500 0.241
0.500 0.000 0.759
0.000 0.000 0.000
0.000 0.500 0.643
0.500 0.000 0.357
0.500 0.500 0.000
0.000 0.500 0.866
0.500 0.000 0.134
0.500 0.500 0.500
0.000 0.000 0.500
```

Properties
The calculation puts the total magnetic moment at 0.0 μB per formula unit. The value obtained for the formation energy is -0.3672 eV per atom.


Here is an optimized crystal structure of KCe2Er2O7 from Alexandria via LeMat-Bulk. Energies are from PBE.

The structure in POSCAR format:
```
KCe2Er2O7
1.0
-2.283 2.283 9.837
2.283 -2.283 9.837
2.283 2.283 -9.837
K Ce Er O
1 2 2 7
Direct
0.000 0.000 0.000
0.378 0.378 0.000
0.601 0.601 0.000
0.239 0.739 0.500
0.739 0.239 0.500
0.125 0.625 0.500
0.250 0.250 0.000
0.352 0.852 0.500
0.490 0.490 0.000
0.625 0.125 0.500
0.727 0.727 0.000
0.852 0.352 0.500
```

Properties
As for the formation energy from raw total energies: -3135 meV per atom. The calculation puts the total magnetic moment at 0.8 μB per formula unit.


Here is an optimized crystal structure of LiFe3As from Alexandria via LeMat-Bulk. Energies are from PBE.

The structure in POSCAR format:
```
LiFe3As
1.0
4.478 0.000 0.000
0.000 4.478 0.000
0.000 0.000 4.478
Li Fe As
1 3 1
Direct
0.000 0.000 0.000
0.000 0.500 0.500
0.500 0.000 0.500
0.500 0.500 0.000
0.500 0.500 0.500
```

Properties
The calculation puts the polymorph energy (0 for the lowest one) at 0 meV/atom. The calculation puts the total magnetic moment at 7.9 μB per formula unit. The value obtained for the formation energy is 0.6366 eV per atom.